BaZrMn2: relaxed, GGA-PBE.

Summary:
Symmetry   No. 216
ΔE to the lowest computed polymorph   465.3 meV/atom
D(E_F)   1.000 states/eV/atom
E_form   843 meV per atom
Total magnetization   25.22 μB per cell

abc: 7.1403 7.1403 7.1403
angles: 90.00 90.00 90.00
Atoms (fractional coordinates):
Ba: 0.0000 0.0000 0.0000
Ba: 0.0000 0.5000 0.5000
Ba: 0.5000 0.0000 0.5000
Ba: 0.5000 0.5000 0.0000
Zr: 0.2500 0.2500 0.7500
Zr: 0.2500 0.7500 0.2500
Zr: 0.7500 0.2500 0.2500
Zr: 0.7500 0.7500 0.7500
Mn: 0.0000 0.0000 0.5000
Mn: 0.0000 0.5000 0.0000
Mn: 0.2500 0.2500 0.2500
Mn: 0.2500 0.7500 0.7500
Mn: 0.5000 0.0000 0.0000
Mn: 0.5000 0.5000 0.5000
Mn: 0.7500 0.2500 0.7500
Mn: 0.7500 0.7500 0.2500

---

BaZr4Mn: relaxed, GGA-PBE.

Summary:
Symmetry   No. 216
D(E_F)   1.664 states/eV/atom
E_form   699 meV per atom
Total magnetization   3.06 μB per cell

abc: 6.0554 6.0554 6.0554
angles: 60.00 60.00 60.00
Atoms (fractional coordinates):
Ba: 0.0000 0.0000 0.0000
Zr: 0.3766 0.3766 0.3766
Zr: 0.3766 0.3766 0.8701
Zr: 0.3766 0.8701 0.3766
Zr: 0.8701 0.3766 0.3766
Mn: 0.7500 0.7500 0.7500

---

BaZrMn3: relaxed, GGA-PBE.

Summary:
Symmetry   No. 221
ΔE to the lowest computed polymorph   1077.5 meV/atom
D(E_F)   1.172 states/eV/atom
E_form   1960 meV per atom
Total magnetization   9.45 μB per cell

abc: 5.0481 5.0481 5.0481
angles: 90.00 90.00 90.00
Atoms (fractional coordinates):
Ba: 0.0000 0.0000 0.0000
Zr: 0.5000 0.5000 0.5000
Mn: 0.0000 0.0000 0.5000
Mn: 0.0000 0.5000 0.0000
Mn: 0.5000 0.0000 0.0000

---

BaZrMn3: relaxed, GGA-PBE.

Summary:
Symmetry   No. 221
ΔE to the lowest computed polymorph   0.0 meV/atom
D(E_F)   0.873 states/eV/atom
E_form   882 meV per atom
Total magnetization   9.76 μB per cell

abc: 5.1524 5.1524 5.1524
angles: 90.00 90.00 90.00
Atoms (fractional coordinates):
Ba: 0.0000 0.0000 0.0000
Zr: 0.5000 0.5000 0.5000
Mn: 0.0000 0.5000 0.5000
Mn: 0.5000 0.0000 0.5000
Mn: 0.5000 0.5000 0.0000

---

BaZrMn: relaxed, GGA-PBE.

Summary:
Symmetry   No. 216
ΔE to the lowest computed polymorph   479.5 meV/atom
D(E_F)   1.443 states/eV/atom
E_form   959 meV per atom
Total magnetization   4.81 μB per cell

abc: 7.1108 7.1108 7.1108
angles: 90.00 90.00 90.00
Atoms (fractional coordinates):
Ba: 0.0000 0.0000 0.0000
Ba: 0.0000 0.5000 0.5000
Ba: 0.5000 0.0000 0.5000
Ba: 0.5000 0.5000 0.0000
Zr: 0.0000 0.0000 0.5000
Zr: 0.0000 0.5000 0.0000
Zr: 0.5000 0.0000 0.0000
Zr: 0.5000 0.5000 0.5000
Mn: 0.2500 0.2500 0.2500
Mn: 0.2500 0.7500 0.7500
Mn: 0.7500 0.2500 0.7500
Mn: 0.7500 0.7500 0.2500

---

BaZr2Mn: relaxed, GGA-PBE.

Summary:
Symmetry   No. 123
ΔE to the lowest computed polymorph   459.2 meV/atom
D(E_F)   1.215 states/eV/atom
E_form   756 meV per atom
Total magnetization   3.02 μB per cell

abc: 4.5032 4.5032 5.0198
angles: 90.00 90.00 90.00
Atoms (fractional coordinates):
Ba: 0.0000 0.0000 0.0000
Zr: 0.0000 0.5000 0.5000
Zr: 0.5000 0.0000 0.5000
Mn: 0.5000 0.5000 0.0000